TlV2Br6: optimized geometry, PBE.

```
9
Lattice="7.2866 0.0000 0.0000 0.0000 5.8717 -3.3900 0.0000 0.0000 6.7800" Properties=species:S:1:pos:R:3 pbc="T T T"
Br 2.1673 5.8716 0.8429
Br 2.1673 3.6658 4.6636
Br 5.1193 2.2059 -1.2735
Br 5.1193 0.0000 2.5471
Br 2.1673 2.2058 1.2735
Br 5.1192 3.6658 2.1165
V 3.6433 3.9145 0.0000
V 3.6433 1.9572 3.3900
Tl -0.0001 5.8717 3.3900
```

Calculated values
The uncorrected formation energy is -0.87 eV/atom.

***

TlV2Br8: optimized geometry, PBE.

```
11
Lattice="-7.0683 -1.0877 0.7655 -1.5010 -5.7436 -6.4356 -0.0923 -8.1893 3.0959" Properties=species:S:1:pos:R:3 pbc="T T T"
Tl 0.0000 0.0000 0.0000
V -6.0279 -11.7926 -2.1351
V -2.6338 -3.2279 -0.4390
Br -4.9448 -3.5294 -0.1748
Br -3.7169 -11.4912 -2.3993
Br -1.6689 -5.2310 -1.0956
Br -3.1632 -8.2035 -4.8792
Br -2.2822 -9.7330 1.0815
Br -6.3794 -5.2876 -3.6556
Br -5.4985 -6.8171 2.3051
Br -6.9928 -9.7896 -1.4785
```

Calculated values
The uncorrected formation energy is -0.81 eV/atom.

***

Tl3VBr7: optimized geometry, PBE.

```
11
Lattice="6.8260 0.6529 2.9516 -0.9338 6.7933 2.9516 -0.3856 -0.4873 8.1258" Properties=species:S:1:pos:R:3 pbc="T T T"
Br 2.9056 3.6719 7.6622
Br 0.9531 1.2045 1.9138
Br 4.6853 5.9211 11.7883
Br -0.3366 4.6476 3.7507
Br 4.6005 0.7409 3.7507
Br 6.0371 2.5040 9.8847
Br 1.0490 6.4510 9.8847
Tl 0.5002 5.3006 6.8636
Tl 5.0436 1.7055 6.8636
Tl 2.6567 3.3574 10.6983
V -0.3074 -0.3885 7.9793
```

Calculated values
The uncorrected formation energy is -0.79 eV/atom.

***

no.,total DFT energy (no corrections) (eV/atom)
1,-4.2701
2,-3.8968
3,-3.3240